{
  "formula": "Sm2AsRh3",
  "functional": "PBE-GGA",
  "state": "relaxed",
  "lattice_angstrom": [[2.8178, 1.6269, 4.0229], [-2.8178, 1.6269, 4.0229], [0.0000, -3.2537, 4.0229]],
  "species": ["Sm", "Sm", "As", "Rh", "Rh", "Rh"],
  "frac_coords": [[0.1262, 0.1262, 0.1262], [0.8738, 0.8738, 0.8738], [0.5000, 0.5000, 0.5000], [0.0000, 0.5000, 0.5000], [0.5000, 0.0000, 0.5000], [0.5000, 0.5000, 0.0000]],
  "total_magnetization_mub_per_atom": 0.000,
  "e_form_mev_per_atom": -846
}